# Li2HgSb (PBEsol, relaxed)
# formation energy (no corrections) = -0.248 eV/atom
data_Li2HgSb
_cell_length_a 7.555
_cell_length_b 7.555
_cell_length_c 5.967
_cell_angle_alpha 90.00
_cell_angle_beta 90.00
_cell_angle_gamma 90.00
_space_group_name_H-M_alt 'I -4 2 d'
_space_group_IT_number 122
_space_group_name_Hall 'I -4 2bw'
loop_
_atom_site_label
_atom_site_fract_x
_atom_site_fract_y
_atom_site_fract_z
Li1 0.245 0.750 0.125
Hg1 0.000 0.000 0.000
Sb1 0.000 0.000 0.500

# Li2HgSb (PBEsol, relaxed)
# formation energy (no corrections) = -0.389 eV/atom
data_Li2HgSb
_cell_length_a 3.367
_cell_length_b 4.134
_cell_length_c 5.757
_cell_angle_alpha 90.00
_cell_angle_beta 90.00
_cell_angle_gamma 90.00
_space_group_name_H-M_alt 'P m m 2'
_space_group_IT_number 25
_space_group_name_Hall 'P 2 -2'
loop_
_atom_site_label
_atom_site_fract_x
_atom_site_fract_y
_atom_site_fract_z
Li1 0.000 0.000 0.000
Li2 0.500 0.500 0.294
Hg1 0.500 0.500 0.821
Sb1 0.000 0.000 0.498

# Li2HgSb (PBEsol, relaxed)
# formation energy (no corrections) = -0.375 eV/atom
data_Li2HgSb
_cell_length_a 3.531
_cell_length_b 4.535
_cell_length_c 9.897
_cell_angle_alpha 90.00
_cell_angle_beta 90.00
_cell_angle_gamma 90.00
_space_group_name_H-M_alt 'I m m 2'
_space_group_IT_number 44
_space_group_name_Hall 'I 2 -2'
loop_
_atom_site_label
_atom_site_fract_x
_atom_site_fract_y
_atom_site_fract_z
Li1 0.000 0.000 0.000
Li2 0.000 0.500 0.241
Hg1 0.000 0.000 0.515
Sb1 0.000 0.500 0.758

# Li2HgSb (PBEsol, relaxed)
# formation energy (no corrections) = -0.393 eV/atom
data_Li2HgSb
_cell_length_a 4.203
_cell_length_b 4.203
_cell_length_c 8.870
_cell_angle_alpha 90.00
_cell_angle_beta 90.00
_cell_angle_gamma 90.00
_space_group_name_H-M_alt 'I -4 m 2'
_space_group_IT_number 119
_space_group_name_Hall 'I -4 -2'
loop_
_atom_site_label
_atom_site_fract_x
_atom_site_fract_y
_atom_site_fract_z
Li1 0.000 0.000 0.000
Li2 0.000 0.500 0.250
Hg1 0.000 0.500 0.750
Sb1 0.000 0.000 0.500

# LiHg2Sb (PBEsol, relaxed)
# formation energy (no corrections) = -0.177 eV/atom
data_LiHg2Sb
_cell_length_a 3.134
_cell_length_b 3.134
_cell_length_c 8.950
_cell_angle_alpha 90.00
_cell_angle_beta 90.00
_cell_angle_gamma 90.00
_space_group_name_H-M_alt 'P 4 m m'
_space_group_IT_number 99
_space_group_name_Hall 'P 4 -2'
loop_
_atom_site_label
_atom_site_fract_x
_atom_site_fract_y
_atom_site_fract_z
Li1 0.000 0.000 0.000
Hg1 0.000 0.000 0.524
Hg2 0.500 0.500 0.793
Sb1 0.500 0.500 0.227

# Li2HgSb (PBEsol, relaxed)
# formation energy (no corrections) = -0.451 eV/atom
data_Li2HgSb
_cell_length_a 3.148
_cell_length_b 4.828
_cell_length_c 5.017
_cell_angle_alpha 90.00
_cell_angle_beta 90.00
_cell_angle_gamma 90.00
_space_group_name_H-M_alt 'P m m 2'
_space_group_IT_number 25
_space_group_name_Hall 'P 2 -2'
loop_
_atom_site_label
_atom_site_fract_x
_atom_site_fract_y
_atom_site_fract_z
Li1 0.000 0.000 0.000
Li2 0.000 0.500 0.392
Hg1 0.500 0.500 0.914
Sb1 0.500 0.000 0.500

# LiScHg (PBEsol, relaxed)
# formation energy from the elements = 54 kJ/mol of formula units
# relative energy among the computed polymorphs = 167 meV/atom
data_LiScHg
_cell_length_a 6.529
_cell_length_b 6.529
_cell_length_c 6.529
_cell_angle_alpha 90.00
_cell_angle_beta 90.00
_cell_angle_gamma 90.00
_space_group_name_H-M_alt 'F -4 3 m'
_space_group_IT_number 216
_space_group_name_Hall 'F -4 2 3'
loop_
_atom_site_label
_atom_site_fract_x
_atom_site_fract_y
_atom_site_fract_z
Li1 0.000 0.000 0.000
Sc1 0.250 0.250 0.750
Hg1 0.000 0.000 0.500

# LiSc2Hg (PBEsol, relaxed)
# formation energy from the elements = -84 kJ/mol of formula units
data_LiSc2Hg
_cell_length_a 3.495
_cell_length_b 3.495
_cell_length_c 6.662
_cell_angle_alpha 90.00
_cell_angle_beta 90.00
_cell_angle_gamma 90.00
_space_group_name_H-M_alt 'P 4 m m'
_space_group_IT_number 99
_space_group_name_Hall 'P 4 -2'
loop_
_atom_site_label
_atom_site_fract_x
_atom_site_fract_y
_atom_site_fract_z
Li1 0.000 0.000 0.000
Sc1 0.000 0.000 0.549
Sc2 0.500 0.500 0.257
Hg1 0.500 0.500 0.796